The following is a PBE calculation of a geometry-optimized Tl3H2Se4 structure, from the Alexandria database.

Cell lengths 13.6617, 11.3536, 5.8790 Å; angles 90.00, 97.71, 90.00 degrees
Space group C2/c (No. 15)
Inequivalent atoms, fractional coordinates:
1 Tl 0.0000 0.1111 0.2500
2 Tl 0.1174 0.3852 0.0230
3 H 0.1524 0.1689 0.7239
4 Se 0.0995 0.3544 0.5142
5 Se 0.1678 0.0965 0.9403

Properties
Raw total energy, eV per cell: -114.63